Below is a geometry-optimized KPH3O4 structure, with properties calculated at the PBE-GGA level.

The structure in POSCAR format:
```
KPH3O4
1.0
6.8386 0.0000 0.0405
0.0000 8.9762 0.0000
-2.3206 0.0000 14.4359
K P H O
8 8 24 32
direct
0.6046 0.6205 0.6813
0.8954 0.1205 0.3187
0.3954 0.3795 0.3187
0.1046 0.8795 0.6813
0.8817 0.3401 0.8671
0.6183 0.8401 0.1329
0.1183 0.6599 0.1329
0.3817 0.1599 0.8671
0.8541 0.5549 0.4878
0.6459 0.0549 0.5122
0.1459 0.4451 0.5122
0.3541 0.9451 0.4878
0.4354 0.5686 0.9408
0.0646 0.0686 0.0592
0.5646 0.4314 0.0592
0.9354 0.9314 0.9408
0.6843 0.3435 0.5051
0.8157 0.8435 0.4949
0.3157 0.6565 0.4949
0.1843 0.1565 0.5051
0.7162 0.6815 0.9232
0.7838 0.1815 0.0768
0.2838 0.3185 0.0768
0.2162 0.8185 0.9232
0.1183 0.5623 0.7972
0.3817 0.0623 0.2028
0.8817 0.4377 0.2028
0.6183 0.9377 0.7972
0.0670 0.5390 0.6919
0.4330 0.0390 0.3081
0.9330 0.4610 0.3081
0.5670 0.9610 0.6919
0.4248 0.3365 0.6808
0.0752 0.8365 0.3192
0.5752 0.6635 0.3192
0.9248 0.1635 0.6808
0.5970 0.2220 0.6803
0.9030 0.7220 0.3197
0.4030 0.7780 0.3197
0.0970 0.2780 0.6803
0.8661 0.7010 0.5419
0.6339 0.2010 0.4581
0.1339 0.2990 0.4581
0.3661 0.7990 0.5419
0.7885 0.5667 0.3829
0.7115 0.0667 0.6171
0.2115 0.4333 0.6171
0.2885 0.9333 0.3829
0.7158 0.4479 0.5359
0.7842 0.9479 0.4641
0.2842 0.5521 0.4641
0.2158 0.0521 0.5359
0.2872 0.4751 0.8775
0.2128 0.9751 0.1225
0.7128 0.5249 0.1225
0.7872 0.0249 0.8775
0.3604 0.7117 0.9807
0.1396 0.2117 0.0193
0.6396 0.2883 0.0193
0.8604 0.7883 0.9807
0.6207 0.6034 0.8880
0.8793 0.1034 0.1120
0.3793 0.3966 0.1120
0.1207 0.8966 0.8880
0.0177 0.5916 0.7433
0.4823 0.0916 0.2567
0.9823 0.4084 0.2567
0.5177 0.9084 0.7433
0.5443 0.2965 0.7200
0.9557 0.7965 0.2800
0.4557 0.7035 0.2800
0.0443 0.2035 0.7200
```

* crystal system: monoclinic
* total magnetic moment: 0.000 μB per cell
* E_tot: -5.651 eV per atom